(1)
DFT (PBE) results for a relaxed NiPbCl2 crystal.

Cell: 3.4914 3.4914 25.2229 Å, 90.00 90.00 120.00°
Closest atoms and distances in Å follow each position.
Atoms (fractional coordinates):
Ni 0.0000 0.0000 0.0000  6 Cl 2.43
Ni 0.3333 0.6667 0.6667  6 Cl 2.43
Ni 0.6667 0.3333 0.3333  6 Cl 2.43
Pb 0.0000 0.0000 0.5000  6 Cl 3.49, 6 Pb 3.49
Pb 0.3333 0.6667 0.1667  6 Cl 3.49, 6 Pb 3.49
Pb 0.6667 0.3333 0.8333  6 Cl 3.49, 6 Pb 3.49
Cl 0.0000 0.0000 0.2794  3 Ni 2.43
Cl 0.0000 0.0000 0.7206  3 Ni 2.43
Cl 0.3333 0.6667 0.3872  3 Ni 2.43
Cl 0.3333 0.6667 0.9461  3 Ni 2.43
Cl 0.6667 0.3333 0.0539  3 Ni 2.43
Cl 0.6667 0.3333 0.6128  3 Ni 2.43

Results
Energy above the most stable polymorph in this dataset ... 87 meV per atom
SG ... R-3m, No. 166
Raw total energy ... -14.72 eV per formula unit
Density of states at the Fermi level ... 6.82 states/eV per cell
Formation energy from raw total energies ... -0.38 eV per atom
ρ ... 6.3 g/cm³


(2)
DFT (PBE) results for a relaxed K2CdHg crystal.

Cell: 8.2748 8.2748 8.2748 Å, 90.00 90.00 90.00°
Closest atoms and distances in Å follow each position.
Atoms (fractional coordinates):
K 0.0000 0.0000 0.0000  4 Hg 3.58, 4 K 3.58
K 0.0000 0.5000 0.5000  4 Hg 3.58, 4 K 3.58
K 0.2500 0.2500 0.2500  4 Cd 3.58, 4 K 3.58
K 0.2500 0.7500 0.7500  4 Cd 3.58, 4 K 3.58
K 0.5000 0.0000 0.5000  4 Hg 3.58, 4 K 3.58
K 0.5000 0.5000 0.0000  4 Hg 3.58, 4 K 3.58
K 0.7500 0.2500 0.7500  4 Cd 3.58, 4 K 3.58
K 0.7500 0.7500 0.2500  4 Cd 3.58, 4 K 3.58
Cd 0.0000 0.0000 0.5000  4 K 3.58, 4 Hg 3.58
Cd 0.0000 0.5000 0.0000  4 K 3.58, 4 Hg 3.58
Cd 0.5000 0.0000 0.0000  4 K 3.58, 4 Hg 3.58
Cd 0.5000 0.5000 0.5000  4 K 3.58, 4 Hg 3.58
Hg 0.2500 0.2500 0.7500  4 Cd 3.58, 4 K 3.58
Hg 0.2500 0.7500 0.2500  4 Cd 3.58, 4 K 3.58
Hg 0.7500 0.2500 0.2500  4 Cd 3.58, 4 K 3.58
Hg 0.7500 0.7500 0.7500  4 K 3.58, 4 Cd 3.58

Results
SG ... F-43m, No. 216
Energy relative to the elements ... -76 meV/atom
Raw total energy ... -3.71 eV per formula unit
Density of states at the Fermi level ... 11.15 states/eV per cell
ρ ... 4.6 g/cm³


(3)
DFT (PBE) results for a relaxed SbPd2Pb2 crystal.

Cell: 6.9755 6.9755 11.1725 Å, 115.35 115.35 29.39°
Closest atoms and distances in Å follow each position.
Atoms (fractional coordinates):
Sb 0.2191 0.2191 0.3571  4 Pd 2.66-2.75
Sb 0.7809 0.7809 0.6429  4 Pd 2.66-2.75
Pd 0.0259 0.0259 0.1401  1 Sb 2.66, 1 Pd 2.89, 4 Pb 2.94-2.96
Pd 0.1139 0.1139 0.5190  3 Sb 2.71-2.75, 1 Pd 2.91, 2 Pb 2.96
Pd 0.8861 0.8861 0.4810  3 Sb 2.71-2.75, 1 Pd 2.91, 2 Pb 2.96
Pd 0.9741 0.9741 0.8599  1 Sb 2.66, 1 Pd 2.89, 4 Pb 2.94-2.96
Pb 0.3488 0.3488 0.9530  4 Pd 2.94-2.96
Pb 0.4560 0.4560 0.3083  6 Pd 2.96-3.06
Pb 0.5440 0.5440 0.6917  6 Pd 2.96-3.06
Pb 0.6512 0.6512 0.0470  4 Pd 2.94-2.96

Results
Energy above the most stable polymorph in this dataset ... 0 meV per atom
SG ... C2/m, No. 12
Raw total energy ... -23.15 eV per formula unit
Density of states at the Fermi level ... 2.83 states/eV per cell
Formation energy from raw total energies ... -0.24 eV per atom
ρ ... 10.4 g/cm³


(4)
DFT (PBE) results for a relaxed Dy5Tm5Bi6 crystal.

Cell: 6.3294 9.1380 9.1380 Å, 120.19 90.00 90.00°
Closest atoms and distances in Å follow each position.
Atoms (fractional coordinates):
Dy 0.0000 0.0000 0.0000  5 Bi 3.12-3.44
Dy 0.2499 0.0921 0.4244  2 Dy 3.16-3.17, 6 Bi 3.23-3.24
Dy 0.2499 0.4244 0.0921  2 Dy 3.16-3.17, 6 Bi 3.23-3.24
Dy 0.7501 0.0921 0.4244  2 Dy 3.16-3.17, 6 Bi 3.23-3.24
Dy 0.7501 0.4244 0.0921  2 Dy 3.16-3.17, 6 Bi 3.23-3.24
Tm 0.0000 0.5166 0.7589  5 Bi 3.09-3.43
Tm 0.0000 0.7589 0.5166  5 Bi 3.09-3.43
Tm 0.5000 0.0008 0.7583  5 Bi 3.09-3.44
Tm 0.5000 0.5193 0.5193  5 Bi 3.10-3.44
Tm 0.5000 0.7583 0.0008  5 Bi 3.09-3.44
Bi 0.0000 0.1471 0.7571  4 Tm 3.09-3.44, 5 Dy 3.12-3.24
Bi 0.0000 0.3718 0.3718  4 Tm 3.09-3.44, 5 Dy 3.24-3.39
Bi 0.0000 0.7571 0.1471  4 Tm 3.09-3.44, 5 Dy 3.12-3.24
Bi 0.5000 0.1468 0.1468  3 Tm 3.10-3.39, 6 Dy 3.23-3.44
Bi 0.5000 0.3704 0.7587  5 Tm 3.09-3.43, 4 Dy 3.24
Bi 0.5000 0.7587 0.3704  5 Tm 3.09-3.43, 4 Dy 3.24

Results
SG ... Amm2, No. 38
Energy relative to the elements ... -642 meV/atom
Raw total energy ... -78.92 eV per formula unit
Density of states at the Fermi level ... 15.72 states/eV per cell
ρ ... 10.6 g/cm³


(5)
DFT (PBE) results for a relaxed Nd2VCo crystal.

Cell: 3.5877 3.5877 28.5309 Å, 90.00 90.00 120.00°
Closest atoms and distances in Å follow each position.
Atoms (fractional coordinates):
Nd 0.0000 0.0000 0.1052  3 Co 2.71, 1 V 3.00
Nd 0.0000 0.0000 0.8948  3 Co 2.71, 1 V 3.00
Nd 0.3333 0.6667 0.5615  3 Co 2.71, 1 V 3.00
Nd 0.3333 0.6667 0.7718  3 Co 2.71, 1 V 3.00
Nd 0.6667 0.3333 0.2282  3 Co 2.71, 1 V 3.00
Nd 0.6667 0.3333 0.4385  3 Co 2.71, 1 V 3.00
V 0.0000 0.0000 0.0000  2 Nd 3.00
V 0.3333 0.6667 0.6667  2 Nd 3.00
V 0.6667 0.3333 0.3333  2 Nd 3.00
Co 0.0000 0.0000 0.5000  6 Nd 2.71
Co 0.3333 0.6667 0.1667  6 Nd 2.71
Co 0.6667 0.3333 0.8333  6 Nd 2.71

Results
SG ... R-3m, No. 166
Energy relative to the elements ... 726 meV/atom
Raw total energy ... -22.86 eV per formula unit
Density of states at the Fermi level ... 11.35 states/eV per cell
ρ ... 6.2 g/cm³


(6)
DFT (PBE) results for a relaxed B2Sb2Ir crystal.

Cell: 7.0774 7.0774 3.2707 Å, 90.00 90.00 90.00°
Closest atoms and distances in Å follow each position.
Atoms (fractional coordinates):
B 0.1725 0.3275 0.0000  2 Sb 2.41
B 0.3275 0.8275 0.0000  2 Sb 2.41
B 0.6725 0.1725 0.0000  2 Sb 2.41
B 0.8275 0.6725 0.0000  2 Sb 2.41
Sb 0.1513 0.6513 0.5000  2 B 2.41, 2 Ir 2.69
Sb 0.3487 0.1513 0.5000  2 B 2.41, 2 Ir 2.69
Sb 0.6513 0.8487 0.5000  2 B 2.41, 2 Ir 2.69
Sb 0.8487 0.3487 0.5000  2 B 2.41, 2 Ir 2.69
Ir 0.0000 0.0000 0.5000  4 Sb 2.69
Ir 0.5000 0.5000 0.5000  4 Sb 2.69

Results
Energy above the most stable polymorph in this dataset ... 456 meV per atom
SG ... P4/mbm, No. 127
Raw total energy ... -23.59 eV per formula unit
Density of states at the Fermi level ... 5.95 states/eV per cell
Formation energy from raw total energies ... 1.37 eV per atom
ρ ... 9.3 g/cm³


(7)
DFT (PBE) results for a relaxed MoAs2 crystal.

Cell: 7.2612 7.2612 3.2715 Å, 90.00 90.00 120.00°
Closest atoms and distances in Å follow each position.
Atoms (fractional coordinates):
Mo 0.0000 0.0000 0.0000  9 As 2.60-2.75
Mo 0.3333 0.6667 0.5000  9 As 2.64-2.80
Mo 0.6667 0.3333 0.5000  9 As 2.64-2.80
As 0.0000 0.2782 0.5000  4 Mo 2.60-2.64
As 0.0000 0.6210 0.0000  5 Mo 2.75-2.80, 6 As 2.96-2.98
As 0.2782 0.0000 0.5000  4 Mo 2.60-2.64
As 0.3790 0.3790 0.0000  5 Mo 2.75-2.80, 6 As 2.96-2.98
As 0.6210 0.0000 0.0000  5 Mo 2.75-2.80, 6 As 2.96-2.98
As 0.7218 0.7218 0.5000  4 Mo 2.60-2.64

Results
SG ... P-62m, No. 189
Energy relative to the elements ... -82 meV/atom
Raw total energy ... -20.38 eV per formula unit
Density of states at the Fermi level ... 3.30 states/eV per cell
ρ ... 8.2 g/cm³


(8)
DFT (PBE) results for a relaxed Cs2PdRh crystal.

Cell: 12.5713 12.5713 4.9463 Å, 90.00 90.00 90.00°
Closest atoms and distances in Å follow each position.
Atoms (fractional coordinates):
Cs 0.0439 0.7500 0.1250  2 Rh 3.25
Cs 0.2500 0.0439 0.8750  2 Rh 3.25
Cs 0.2500 0.4561 0.3750  2 Rh 3.25
Cs 0.4561 0.7500 0.6250  2 Rh 3.25
Cs 0.5439 0.2500 0.6250  2 Rh 3.25
Cs 0.7500 0.5439 0.3750  2 Rh 3.25
Cs 0.7500 0.9561 0.8750  2 Rh 3.25
Cs 0.9561 0.2500 0.1250  2 Rh 3.25
Pd 0.0000 0.0000 0.5000  2 Rh 2.47
Pd 0.0000 0.5000 0.7500  2 Rh 2.47
Pd 0.5000 0.0000 0.2500  2 Rh 2.47
Pd 0.5000 0.5000 0.0000  2 Rh 2.47
Rh 0.0000 0.0000 0.0000  2 Pd 2.47
Rh 0.0000 0.5000 0.2500  2 Pd 2.47
Rh 0.5000 0.0000 0.7500  2 Pd 2.47
Rh 0.5000 0.5000 0.5000  2 Pd 2.47

Results
Energy above the most stable polymorph in this dataset ... 0 meV per atom
SG ... I-42d, No. 122
Energy relative to the elements ... 517 meV/atom
Raw total energy ... -12.18 eV per formula unit
Density of states at the Fermi level ... 21.47 states/eV per cell
ρ ... 4.0 g/cm³


What is the density of states at the Fermi level in the third record? 2.83 states/eV per cell